Record 1
## Nd2BiIr (PBE)

Data for a relaxed Nd2BiIr crystal.

a b c (Å): 6.503 6.251 11.764
angles (deg): 90.00 104.96 90.00
Element x y z (fractional)
Nd (0.172, 0.151, 0.120)
Nd (0.172, 0.849, 0.620)
Nd (0.269, 0.334, 0.833)
Nd (0.269, 0.666, 0.333)
Nd (0.731, 0.334, 0.667)
Nd (0.731, 0.666, 0.167)
Nd (0.828, 0.151, 0.380)
Nd (0.828, 0.849, 0.880)
Bi (0.339, 0.178, 0.411)
Bi (0.339, 0.822, 0.911)
Bi (0.661, 0.178, 0.089)
Bi (0.661, 0.822, 0.589)
Ir (0.119, 0.336, 0.582)
Ir (0.119, 0.664, 0.082)
Ir (0.881, 0.336, 0.918)
Ir (0.881, 0.664, 0.418)

## Properties
crystal system = monoclinic
symmetry = No. 13
energy relative to the elements = -0.587 eV/atom

---

Record 2
## K5Rb4Na4 (PBE)

Data for a relaxed K5Rb4Na4 crystal.

a b c (Å): 12.693 12.693 12.693
angles (deg): 92.97 92.97 153.69
Element x y z (fractional)
K (0.000, 0.000, 0.000)
K (0.314, 0.389, 0.703)
K (0.389, 0.686, 0.075)
K (0.611, 0.314, 0.925)
K (0.686, 0.611, 0.297)
Rb (0.116, 0.609, 0.725)
Rb (0.391, 0.116, 0.507)
Rb (0.609, 0.884, 0.493)
Rb (0.884, 0.391, 0.275)
Na (0.065, 0.220, 0.285)
Na (0.220, 0.935, 0.154)
Na (0.780, 0.065, 0.846)
Na (0.935, 0.780, 0.715)

## Properties
crystal system = tetragonal
symmetry = No. 87
energy relative to the elements = 0.038 eV/atom

---

Record 3
## CdIrBr2 (PBE)

Data for a relaxed CdIrBr2 crystal.

a b c (Å): 3.626 6.140 9.164
angles (deg): 90.00 90.00 90.00
Element x y z (fractional)
Cd (0.000, 0.000, 0.000)
Cd (0.500, 0.500, 0.000)
Ir (0.000, 0.500, 0.773)
Ir (0.500, 0.000, 0.773)
Br (0.000, 0.000, 0.594)
Br (0.000, 0.500, 0.214)
Br (0.500, 0.000, 0.214)
Br (0.500, 0.500, 0.594)

## Properties
crystal system = orthorhombic
formation energy without anion corrections = 247.1 meV/atom
symmetry = No. 35

---

Record 4
## MnTcOs3 (PBE)

Data for a relaxed MnTcOs3 crystal.

a b c (Å): 5.126 5.221 6.599
angles (deg): 74.10 88.40 61.21
Element x y z (fractional)
Mn (0.000, 0.000, 0.000)
Mn (0.500, 0.000, 0.500)
Tc (0.085, 0.332, 0.705)
Tc (0.915, 0.668, 0.295)
Os (0.130, 0.792, 0.676)
Os (0.391, 0.710, 0.306)
Os (0.429, 0.224, 0.085)
Os (0.571, 0.776, 0.915)
Os (0.609, 0.290, 0.694)
Os (0.870, 0.208, 0.324)

## Properties
crystal system = triclinic
symmetry = No. 2
energy relative to the elements = 0.437 eV/atom

---

Please write out number 3 again, unchanged.
## CdIrBr2 (PBE)

Data for a relaxed CdIrBr2 crystal.

a b c (Å): 3.626 6.140 9.164
angles (deg): 90.00 90.00 90.00
Element x y z (fractional)
Cd (0.000, 0.000, 0.000)
Cd (0.500, 0.500, 0.000)
Ir (0.000, 0.500, 0.773)
Ir (0.500, 0.000, 0.773)
Br (0.000, 0.000, 0.594)
Br (0.000, 0.500, 0.214)
Br (0.500, 0.000, 0.214)
Br (0.500, 0.500, 0.594)

## Properties
crystal system = orthorhombic
formation energy without anion corrections = 247.1 meV/atom
symmetry = No. 35

---

> Number 4 is which compound?

MnTcOs3

---

What did the third record say?
## CdIrBr2 (PBE)

Data for a relaxed CdIrBr2 crystal.

a b c (Å): 3.626 6.140 9.164
angles (deg): 90.00 90.00 90.00
Element x y z (fractional)
Cd (0.000, 0.000, 0.000)
Cd (0.500, 0.500, 0.000)
Ir (0.000, 0.500, 0.773)
Ir (0.500, 0.000, 0.773)
Br (0.000, 0.000, 0.594)
Br (0.000, 0.500, 0.214)
Br (0.500, 0.000, 0.214)
Br (0.500, 0.500, 0.594)

## Properties
crystal system = orthorhombic
formation energy without anion corrections = 247.1 meV/atom
symmetry = No. 35